A relaxed structure of Si3PAu, computed with PBE.

- Space group: No. 221

Unit cell a=4.807 b=4.807 c=4.807 alpha=90.00 beta=90.00 gamma=90.00
Sites, in units of the cell vectors:
P  0.500  0.500  0.500
Si  0.500  0.000  0.000
Si  0.000  0.000  0.500
Au  0.000  0.000  0.000
Si  0.000  0.500  0.000

***

A relaxed structure of Si2PAu2, computed with PBE.

- Space group: No. 139

Unit cell a=3.828 b=3.828 c=6.723 alpha=73.46 beta=73.46 gamma=90.00
Sites, in units of the cell vectors:
P  0.000  0.000  0.000
Si  0.750  0.250  0.500
Si  0.250  0.750  0.500
Au  0.610  0.610  0.781
Au  0.390  0.390  0.219

***

| no. | DOS(E_F) (states/eV/atom) | offset from the most stable computed form (meV/atom) | formation energy without anion corrections (kJ/mol of formula units) |
| --- | --- | --- | --- |
| 1 | 0.68 | 362.5 | 545.8 |
| 2 | 0.37 | 55.0 | 226.8 |